{"formula": "SmDyTlAg", "functional": "GGA-PBE", "state": "relaxed", "delta_e_f_ev_per_atom": -0.33, "cell": [[-2.039, 3.028, 0.467], [-3.044, -1.939, -0.717], [-0.729, -1.664, 7.601]], "species": ["Sm", "Dy", "Tl", "Ag"], "fractional_positions": [[0.000, 0.000, 0.845], [0.000, 0.000, 0.375], [0.500, 0.500, 0.115], [0.500, 0.500, 0.594]]}


{"formula": "Li6Ga8Rh", "functional": "GGA-PBE", "state": "relaxed", "delta_e_f_ev_per_atom": -0.26, "cell": [[-4.365, 1.920, 4.958], [2.605, -0.260, 6.361], [1.360, 6.141, 2.786]], "species": ["Li", "Li", "Li", "Li", "Li", "Li", "Ga", "Ga", "Ga", "Ga", "Ga", "Ga", "Ga", "Ga", "Rh"], "fractional_positions": [[0.629, 0.410, 0.145], [0.145, 0.629, 0.410], [0.410, 0.145, 0.629], [0.371, 0.590, 0.855], [0.855, 0.371, 0.590], [0.590, 0.855, 0.371], [0.260, 0.260, 0.260], [0.740, 0.740, 0.740], [0.070, 0.369, 0.879], [0.879, 0.070, 0.369], [0.369, 0.879, 0.070], [0.930, 0.631, 0.121], [0.121, 0.930, 0.631], [0.631, 0.121, 0.930], [0.000, 0.000, 0.000]]}


{"formula": "Ho12Cu6Rh", "functional": "GGA-PBE", "state": "relaxed", "delta_e_f_ev_per_atom": -0.06, "cell": [[-2.930, -3.701, -6.544], [-4.461, -3.805, 5.543], [-4.349, 6.778, -0.492]], "species": ["Ho", "Ho", "Ho", "Ho", "Ho", "Ho", "Ho", "Ho", "Ho", "Ho", "Ho", "Ho", "Cu", "Cu", "Cu", "Cu", "Cu", "Cu", "Rh"], "fractional_positions": [[0.810, 0.585, 0.435], [0.435, 0.810, 0.585], [0.585, 0.435, 0.810], [0.190, 0.415, 0.565], [0.565, 0.190, 0.415], [0.415, 0.565, 0.190], [0.088, 0.963, 0.322], [0.037, 0.678, 0.912], [0.678, 0.912, 0.037], [0.912, 0.037, 0.678], [0.963, 0.322, 0.088], [0.322, 0.088, 0.963], [0.688, 0.873, 0.374], [0.626, 0.312, 0.127], [0.127, 0.626, 0.312], [0.312, 0.127, 0.626], [0.374, 0.688, 0.873], [0.873, 0.374, 0.688], [0.000, 0.000, 0.000]]}


{"formula": "Pm3CS2", "functional": "GGA-PBE", "state": "relaxed", "dft_energy_ev_per_atom": -6.779, "cell": [[-1.118, -6.320, 2.233], [4.554, 1.107, -4.921], [3.546, 2.503, 5.409]], "species": ["Pm", "Pm", "Pm", "Pm", "Pm", "Pm", "C", "C", "S", "S", "S", "S"], "fractional_positions": [[0.614, 0.948, 0.777], [0.052, 0.386, 0.223], [0.903, 0.592, 0.776], [0.259, 0.237, 0.776], [0.408, 0.097, 0.224], [0.763, 0.741, 0.224], [0.001, 0.999, 0.000], [0.666, 0.334, 0.000], [0.833, 0.167, 0.500], [0.333, 0.667, 0.000], [0.172, 0.828, 0.500], [0.495, 0.505, 0.500]]}


{"formula": "TmMgRhPb", "functional": "GGA-PBE", "state": "relaxed", "delta_e_f_ev_per_atom": -0.52, "cell": [[-0.991, 2.776, 1.583], [-3.195, -0.837, -0.531], [-0.104, -3.861, 6.705]], "species": ["Tm", "Mg", "Rh", "Pb"], "fractional_positions": [[0.500, 0.500, 0.770], [0.500, 0.500, 0.366], [0.000, 0.000, 0.558], [0.000, 0.000, 0.090]]}


{"formula": "Sc6SiSe5", "functional": "GGA-PBE", "state": "relaxed", "dft_energy_ev_per_atom": -6.576, "cell": [[-1.732, 4.389, 4.803], [0.664, -2.901, 6.014], [5.829, 0.405, 3.294]], "species": ["Sc", "Sc", "Sc", "Sc", "Sc", "Sc", "Si", "Se", "Se", "Se", "Se", "Se"], "fractional_positions": [[0.761, 0.079, 0.317], [0.239, 0.604, 0.317], [0.239, 0.236, 0.000], [0.761, 0.764, 0.000], [0.761, 0.396, 0.683], [0.239, 0.921, 0.683], [0.000, 0.000, 0.000], [0.500, 0.170, 0.659], [0.000, 0.334, 0.332], [0.500, 0.500, 0.000], [0.000, 0.666, 0.668], [0.500, 0.830, 0.341]]}


Sequential DOS at the Fermi energy output: 3.17, 5.22, 20.67, 2.40, 1.68, 6.45 states/eV per cell